# 1
First-principles (PBE-GGA) data for a geometry-optimized TiNb3Hg structure, as listed in Alexandria.

Cell: 4.716 4.716 4.716 Å, 90.00 90.00 90.00°
Element x y z (fractional)
1 Nb 0.000 0.500 0.000
2 Nb 0.000 0.000 0.500
3 Nb 0.500 0.000 0.000
4 Hg 0.500 0.500 0.500
5 Ti 0.000 0.000 0.000

## Properties
Crystal system: cubic
Spin magnetization in μB per cell: 0.00
Energy relative to the elements in eV/atom: 1.104

=====

# 2
First-principles (PBE-GGA) data for a geometry-optimized Ti2Nb2Hg structure, as listed in Alexandria.

Cell: 7.189 7.189 3.553 Å, 90.00 90.00 90.00°
Element x y z (fractional)
1 Nb 0.169 0.669 0.500
2 Nb 0.669 0.831 0.500
3 Nb 0.831 0.331 0.500
4 Nb 0.331 0.169 0.500
5 Hg 0.000 0.000 0.000
6 Hg 0.500 0.500 0.000
7 Ti 0.370 0.870 0.000
8 Ti 0.870 0.630 0.000
9 Ti 0.630 0.130 0.000
10 Ti 0.130 0.370 0.000

## Properties
Crystal system: tetragonal
Spin magnetization in μB per cell: 0.00
Energy relative to the elements in eV/atom: 0.168
Energy above the most stable polymorph in this dataset in meV per atom: 143.0

=====

# 3
First-principles (PBE-GGA) data for a geometry-optimized Ti4NbHg3 structure, as listed in Alexandria.

Cell: 3.230 3.230 14.365 Å, 90.00 90.00 90.00°
Element x y z (fractional)
1 Nb 0.500 0.500 0.000
2 Hg 0.500 0.500 0.237
3 Hg 0.500 0.500 0.500
4 Hg 0.500 0.500 0.763
5 Ti 0.000 0.000 0.891
6 Ti 0.000 0.000 0.109
7 Ti 0.000 0.000 0.370
8 Ti 0.000 0.000 0.630

## Properties
Crystal system: tetragonal
Spin magnetization in μB per cell: 2.23
Energy relative to the elements in eV/atom: -0.028

=====

# 4
First-principles (PBE-GGA) data for a geometry-optimized Ti2Nb2Hg structure, as listed in Alexandria.

Cell: 7.341 7.341 3.540 Å, 90.00 90.00 90.00°
Element x y z (fractional)
1 Nb 0.373 0.873 0.000
2 Nb 0.873 0.627 0.000
3 Nb 0.627 0.127 0.000
4 Nb 0.127 0.373 0.000
5 Hg 0.000 0.000 0.000
6 Hg 0.500 0.500 0.000
7 Ti 0.169 0.669 0.500
8 Ti 0.669 0.831 0.500
9 Ti 0.831 0.331 0.500
10 Ti 0.331 0.169 0.500

## Properties
Crystal system: tetragonal
Spin magnetization in μB per cell: 0.00
Energy relative to the elements in eV/atom: 0.236
Energy above the most stable polymorph in this dataset in meV per atom: 211.0